Record 1
GaBiSb2 | GGA-PBE | optimized geometry

The value obtained for the total energy is -14.8 eV/f.u. As for the volume: 231.3 Å³ per cell. As for the total magnetic moment: 0.0 Bohr magnetons per cell. For the energy above the most stable polymorph in this dataset, the calculation gives 0 meV/atom.

The space group is Cm (No. 8) and the conventional cell measures 7.135, 4.258 and 7.917 Å, with angles of 90.00, 105.91 and 90.00 degrees. The asymmetric unit holds Ga at (0.000, 0.000, 0.000), Bi at (0.334, 0.500, 0.494), Sb at (0.264, 0.000, 0.779) and Sb at (0.414, 0.000, 0.230).

Record 2
Rb4TbNp3O12 | GGA-PBE | optimized geometry

The value obtained for the total energy is -160.8 eV/f.u. As for the volume: 652.3 Å³ per cell. As for the total magnetic moment: 8.0 Bohr magnetons per cell.

The space group is Im-3m (No. 229) and the conventional cell measures 8.673, 8.673 and 8.673 Å, with angles of 90.00, 90.00 and 90.00 degrees. The asymmetric unit holds Rb at (0.250, 0.250, 0.250), Tb at (0.000, 0.000, 0.000), Np at (0.000, 0.000, 0.500), O at (0.000, 0.000, 0.267) and O at (0.000, 0.250, 0.500).

Record 3
Pr6Os2SeBr3 | GGA-PBE | optimized geometry

The value obtained for the total energy is -71.6 eV/f.u. As for the volume: 726.2 Å³ per cell. As for the total magnetic moment: 0.0 Bohr magnetons per cell.

The space group is C2/m (No. 12) and the conventional cell measures 7.373, 12.763 and 8.097 Å, with angles of 90.00, 107.63 and 90.00 degrees. The asymmetric unit holds Pr at (0.210, 0.000, 0.200), Pr at (0.245, 0.322, 0.201), Os at (0.000, 0.167, 0.000), Se at (0.000, 0.500, 0.000), Br at (0.000, 0.000, 0.500) and Br at (0.000, 0.336, 0.500).

Record 4
BaY2Sn2 | GGA-PBE | optimized geometry

Its formation energy is -0.37 eV per atom. The value obtained for the total energy is -24.7 eV/f.u. As for the volume: 380.0 Å³ per cell. As for the total magnetic moment: 1.3 Bohr magnetons per cell. For the energy above the most stable polymorph in this dataset, the calculation gives 208 meV/atom.

The space group is I4/mmm (No. 139) and the conventional cell measures 5.764, 5.764 and 11.439 Å, with angles of 90.00, 90.00 and 90.00 degrees. The asymmetric unit holds Ba at (0.000, 0.000, 0.000), Y at (0.000, 0.000, 0.331) and Sn at (0.000, 0.500, 0.250).

Record 5
ZnCrHg2 | GGA-PBE | optimized geometry

Its formation energy is 0.31 eV per atom. The value obtained for the total energy is -10.3 eV/f.u. As for the volume: 153.6 Å³ per cell. As for the total magnetic moment: 8.3 Bohr magnetons per cell. For the energy above the most stable polymorph in this dataset, the calculation gives 18 meV/atom.

The space group is I-4m2 (No. 119) and the conventional cell measures 4.176, 4.176 and 8.806 Å, with angles of 90.00, 90.00 and 90.00 degrees. The asymmetric unit holds Zn at (0.000, 0.000, 0.000), Cr at (0.000, 0.500, 0.750), Hg at (0.000, 0.000, 0.500) and Hg at (0.000, 0.500, 0.250).

Record 6
AcTb4Rh5 | GGA-PBE | optimized geometry

Its formation energy is -0.75 eV per atom. The value obtained for the total energy is -66.9 eV/f.u. As for the volume: 213.5 Å³ per cell. As for the total magnetic moment: 0.0 Bohr magnetons per cell.

The space group is P4/mmm (No. 123) and the conventional cell measures 3.468, 3.468 and 17.751 Å, with angles of 90.00, 90.00 and 90.00 degrees. The asymmetric unit holds Ac at (0.000, 0.000, 0.000), Tb at (0.000, 0.000, 0.209), Tb at (0.000, 0.000, 0.403), Rh at (0.500, 0.500, 0.117), Rh at (0.500, 0.500, 0.307) and Rh at (0.500, 0.500, 0.500).

Record 7
CuPbN2F | GGA-PBE | optimized geometry

The value obtained for the total energy is -23.9 eV/f.u. As for the volume: 67.2 Å³ per cell. As for the total magnetic moment: 2.3 Bohr magnetons per cell. For the energy above the most stable polymorph in this dataset, the calculation gives 0 meV/atom.

The space group is P4/mmm (No. 123) and the conventional cell measures 3.792, 3.792 and 4.674 Å, with angles of 90.00, 90.00 and 90.00 degrees. The asymmetric unit holds Cu at (0.000, 0.000, 0.000), Pb at (0.500, 0.500, 0.500), N at (0.000, 0.500, 0.000) and F at (0.000, 0.000, 0.500).

Record 8
LiNd2Au6 | GGA-PBE | optimized geometry

Its formation energy is -0.61 eV per atom. The value obtained for the total energy is -36.6 eV/f.u. As for the volume: 190.1 Å³ per cell. As for the total magnetic moment: 0.0 Bohr magnetons per cell.

The space group is P-3m1 (No. 164) and the conventional cell measures 6.3118, 6.3118 and 5.5110 Å, with angles of 90.00, 90.00 and 120.00 degrees. The asymmetric unit holds Li at (0.0000, 0.0000, 0.0000), Nd at (0.3333, 0.6667, 0.8194) and Au at (0.1770, 0.3539, 0.3028).

Record 9
TlInGe2 | GGA-PBE | optimized geometry

Its formation energy is 0.27 eV per atom. The value obtained for the total energy is -13.2 eV/f.u. As for the volume: 384.4 Å³ per cell. As for the total magnetic moment: 0.0 Bohr magnetons per cell. For the energy above the most stable polymorph in this dataset, the calculation gives 0 meV/atom.

The space group is Fm-3m (No. 225) and the conventional cell measures 7.271, 7.271 and 7.271 Å, with angles of 90.00, 90.00 and 90.00 degrees. The asymmetric unit holds Tl at (0.000, 0.000, 0.000), In at (0.000, 0.000, 0.500) and Ge at (0.250, 0.250, 0.250).

Record 10
InCuHg2 | GGA-PBE | optimized geometry

Its formation energy is 0.19 eV per atom. The value obtained for the total energy is -6.7 eV/f.u. As for the volume: 374.1 Å³ per cell. As for the total magnetic moment: 0.0 Bohr magnetons per cell.

The space group is I-42d (No. 122) and the conventional cell measures 4.414, 4.414 and 19.201 Å, with angles of 90.00, 90.00 and 90.00 degrees. The asymmetric unit holds In at (0.000, 0.000, 0.000), Cu at (0.000, 0.000, 0.500) and Hg at (0.220, 0.250, 0.625).

Record 11
La2Tm12Th | GGA-PBE | optimized geometry

Its formation energy is 0.10 eV per atom. The value obtained for the total energy is -69.5 eV/f.u. As for the volume: 472.7 Å³ per cell. As for the total magnetic moment: 0.0 Bohr magnetons per cell.

The space group is P2/m (No. 10) and the conventional cell measures 3.540, 5.577 and 24.006 Å, with angles of 90.00, 94.14 and 90.00 degrees. The asymmetric unit holds La at (0.139, 0.000, 0.280), Tm at (0.032, 0.500, 0.066), Tm at (0.063, 0.000, 0.133), Tm at (0.222, 0.500, 0.445), Tm at (0.284, 0.000, 0.569), Tm at (0.335, 0.500, 0.669), Tm at (0.407, 0.500, 0.809) and Th at (0.500, 0.000, 0.000).

Record 12
Cs3Li2PuCl8 | GGA-PBE | optimized geometry

The value obtained for the total energy is -62.1 eV/f.u. As for the volume: 482.8 Å³ per cell. As for the total magnetic moment: 5.0 Bohr magnetons per cell.

The space group is P-3m1 (No. 164) and the conventional cell measures 7.5262, 7.5262 and 9.8409 Å, with angles of 90.00, 90.00 and 120.00 degrees. The asymmetric unit holds Cs at (0.0000, 0.0000, 0.0000), Cs at (0.3333, 0.6667, 0.6614), Li at (0.3333, 0.6667, 0.2158), Pu at (0.0000, 0.0000, 0.5000), Cl at (0.1667, 0.3334, 0.3348) and Cl at (0.3333, 0.6667, 0.9906).

Record 13
CsCa2Al2 | GGA-PBE | optimized geometry

Its formation energy is 0.11 eV per atom. The value obtained for the total energy is -11.8 eV/f.u. As for the volume: 371.1 Å³ per cell. As for the total magnetic moment: 0.0 Bohr magnetons per cell. For the energy above the most stable polymorph in this dataset, the calculation gives 16 meV/atom.

The space group is I4/mmm (No. 139) and the conventional cell measures 5.803, 5.803 and 11.019 Å, with angles of 90.00, 90.00 and 90.00 degrees. The asymmetric unit holds Cs at (0.000, 0.000, 0.000), Ca at (0.000, 0.500, 0.250) and Al at (0.000, 0.000, 0.385).

Record 14
Pm3PuHg12 | GGA-PBE | optimized geometry

Its formation energy is -0.28 eV per atom. The value obtained for the total energy is -36.7 eV/f.u. As for the volume: 411.1 Å³ per cell. As for the total magnetic moment: 7.0 Bohr magnetons per cell.

The space group is P4/mmm (No. 123) and the conventional cell measures 4.657, 4.657 and 18.951 Å, with angles of 90.00, 90.00 and 90.00 degrees. The asymmetric unit holds Pm at (0.000, 0.000, 0.000), Pm at (0.000, 0.000, 0.250), Pu at (0.000, 0.000, 0.500), Hg at (0.000, 0.500, 0.125), Hg at (0.000, 0.500, 0.375), Hg at (0.500, 0.500, 0.000), Hg at (0.500, 0.500, 0.248) and Hg at (0.500, 0.500, 0.500).

Record 15
LiIr2Ru | GGA-PBE | optimized geometry

Its formation energy is -0.02 eV per atom. The value obtained for the total energy is -29.0 eV/f.u. As for the volume: 54.6 Å³ per cell. As for the total magnetic moment: 0.0 Bohr magnetons per cell. For the energy above the most stable polymorph in this dataset, the calculation gives 4 meV/atom.

The space group is Pmmm (No. 47) and the conventional cell measures 2.711, 3.806 and 5.290 Å, with angles of 90.00, 90.00 and 90.00 degrees. The asymmetric unit holds Li at (0.000, 0.000, 0.000), Ir at (0.500, 0.500, 0.244) and Ru at (0.000, 0.000, 0.500).

Record 16
ZnCr2Pb2 | GGA-PBE | optimized geometry

Its formation energy is 0.77 eV per atom. The value obtained for the total energy is -24.1 eV/f.u. As for the volume: 210.2 Å³ per cell. As for the total magnetic moment: 0.0 Bohr magnetons per cell. For the energy above the most stable polymorph in this dataset, the calculation gives 190 meV/atom.

The space group is P4/mbm (No. 127) and the conventional cell measures 8.258, 8.258 and 3.082 Å, with angles of 90.00, 90.00 and 90.00 degrees. The asymmetric unit holds Zn at (0.000, 0.000, 0.000), Cr at (0.082, 0.418, 0.500) and Pb at (0.196, 0.696, 0.000).

Record 17
BaTaAsSe2 | GGA-PBE | optimized geometry

The value obtained for the total energy is -30.0 eV/f.u. As for the volume: 134.6 Å³ per cell. As for the total magnetic moment: 0.0 Bohr magnetons per cell. For the energy above the most stable polymorph in this dataset, the calculation gives 0 meV/atom.

The space group is P4/mmm (No. 123) and the conventional cell measures 5.154, 5.154 and 5.067 Å, with angles of 90.00, 90.00 and 90.00 degrees. The asymmetric unit holds Ba at (0.000, 0.000, 0.000), Ta at (0.500, 0.500, 0.500), As at (0.500, 0.500, 0.000) and Se at (0.000, 0.500, 0.500).

Record 18
KReAgCl6 | GGA-PBE | optimized geometry

The value obtained for the total energy is -35.5 eV/f.u. As for the volume: 539.6 Å³ per cell. As for the total magnetic moment: 6.0 Bohr magnetons per cell.

The space group is P-31c (No. 163) and the conventional cell measures 6.9058, 6.9058 and 13.0661 Å, with angles of 90.00, 90.00 and 120.00 degrees. The asymmetric unit holds K at (0.0000, 0.0000, 0.0000), Re at (0.3333, 0.6667, 0.2500), Ag at (0.3333, 0.6667, 0.7500) and Cl at (0.0449, 0.3935, 0.1449).

Record 19
Pm2NdPaSe4 | GGA-PBE | optimized geometry

The value obtained for the total energy is -51.0 eV/f.u. As for the volume: 205.3 Å³ per cell. As for the total magnetic moment: 0.8 Bohr magnetons per cell.

The space group is P2/m (No. 10) and the conventional cell measures 7.239, 4.144 and 7.240 Å, with angles of 90.00, 109.07 and 90.00 degrees. The asymmetric unit holds Pm at (0.000, 0.000, 0.000), Pm at (0.500, 0.500, 0.000), Nd at (0.000, 0.500, 0.500), Pa at (0.500, 0.000, 0.500), Se at (0.255, 0.000, 0.749) and Se at (0.256, 0.500, 0.254).

Record 20
La2HfS4 | GGA-PBE | optimized geometry

The value obtained for the total energy is -48.7 eV/f.u. As for the volume: 340.4 Å³ per cell. As for the total magnetic moment: 0.0 Bohr magnetons per cell.

The space group is I4/mmm (No. 139) and the conventional cell measures 4.806, 4.806 and 14.740 Å, with angles of 90.00, 90.00 and 90.00 degrees. The asymmetric unit holds La at (0.000, 0.000, 0.137), Hf at (0.000, 0.000, 0.500), S at (0.000, 0.000, 0.324) and S at (0.000, 0.500, 0.000).